Record 1
Material: PrGd2Te3
Method: DFT, GGA-PBE
State: relaxed

Computed properties:
calculated total energy = -0.195 hartree per atom
symmetry = P-3m1 (164)
total magnetic moment = 0.00 μB/f.u.

a = 4.421 Å, b = 4.421 Å, c = 10.939 Å
α = 90.00°, β = 90.00°, γ = 120.00°
Fractional coordinates of all 6 atoms:
Gd (0.667, 0.333, 0.337)
Gd (0.333, 0.667, 0.663)
Pr (0.000, 0.000, 0.000)
Te (0.333, 0.667, 0.177)
Te (0.000, 0.000, 0.500)
Te (0.667, 0.333, 0.823)

---

Record 2
Material: AcHgPO
Method: DFT, GGA-PBE
State: relaxed

Computed properties:
ΔE to the lowest computed polymorph = 0.00 eV/f.u.
symmetry = P4/nmm (129)
total magnetic moment = 0.00 μB/f.u.

a = 4.292 Å, b = 4.292 Å, c = 9.238 Å
α = 90.00°, β = 90.00°, γ = 90.00°
Fractional coordinates of all 8 atoms:
Ac (0.250, 0.250, 0.135)
Ac (0.750, 0.750, 0.865)
Hg (0.750, 0.250, 0.500)
Hg (0.250, 0.750, 0.500)
O (0.750, 0.250, 0.000)
O (0.250, 0.750, 0.000)
P (0.750, 0.750, 0.314)
P (0.250, 0.250, 0.686)

---

Record 3
Material: Na2ZrSe2O
Method: DFT, GGA-PBE
State: relaxed

Computed properties:
calculated total energy = -0.203 hartree per atom
symmetry = C2/m (12)
total magnetic moment = 0.00 μB/f.u.

a = 6.598 Å, b = 6.598 Å, c = 6.975 Å
α = 97.97°, β = 97.97°, γ = 117.05°
Fractional coordinates of all 12 atoms:
Na (0.500, 0.500, 0.000)
Na (0.000, 0.000, 0.500)
Na (0.662, 0.338, 0.500)
Na (0.338, 0.662, 0.500)
O (0.149, 0.149, 0.165)
O (0.851, 0.851, 0.835)
Se (0.928, 0.569, 0.232)
Se (0.569, 0.928, 0.232)
Se (0.431, 0.072, 0.768)
Se (0.072, 0.431, 0.768)
Zr (0.861, 0.139, 0.000)
Zr (0.139, 0.861, 0.000)

---

Record 4
Material: ZnCdSnSe3
Method: DFT, GGA-PBE
State: relaxed

Computed properties:
ΔE to the lowest computed polymorph = 0.00 eV/f.u.
symmetry = Cmcm (63)

a = 10.665 Å, b = 7.076 Å, c = 7.076 Å
α = 147.07°, β = 90.00°, γ = 90.00°
Fractional coordinates of all 12 atoms:
Cd (0.000, 0.000, 0.000)
Cd (0.500, 0.000, 0.000)
Se (0.250, 0.914, 0.086)
Se (0.070, 0.640, 0.360)
Se (0.430, 0.640, 0.360)
Se (0.570, 0.360, 0.640)
Se (0.930, 0.360, 0.640)
Se (0.750, 0.086, 0.914)
Sn (0.750, 0.765, 0.235)
Sn (0.250, 0.235, 0.765)
Zn (0.250, 0.525, 0.475)
Zn (0.750, 0.475, 0.525)